No. 1
# AlV6W GGA-PBE optimized geometry
data_AlV6W
_cell_length_a 6.8374
_cell_length_b 6.8331
_cell_length_c 4.8335
_cell_angle_alpha 45.02
_cell_angle_beta 44.94
_cell_angle_gamma 59.99
_symmetry_space_group_name_H-M 'P 1'
_symmetry_Int_Tables_number 1
loop_
_symmetry_equiv_pos_as_xyz
'x,y,z'
loop_
_atom_site_label
_atom_site_type_symbol
_atom_site_fract_x
_atom_site_fract_y
_atom_site_fract_z
W1 W 0.5000 0.5000 0.5000
V1 V 0.4999 0.2523 0.2477
Al1 Al 0.0000 0.0000 0.0000
V2 V 0.0002 0.5001 0.7518
V3 V 0.7475 0.0002 0.7525
V4 V 0.2525 0.9998 0.2475
V5 V 0.9998 0.4999 0.2482
V6 V 0.5001 0.7477 0.7523
# Energy relative to the elements, eV per atom: -0.0794

---

No. 2
# NdNi2Sn GGA-PBE optimized geometry
data_NdNi2Sn
_cell_length_a 6.2958
_cell_length_b 6.6645
_cell_length_c 7.3897
_cell_angle_alpha 90.00
_cell_angle_beta 90.00
_cell_angle_gamma 90.00
_symmetry_space_group_name_H-M 'P 1'
_symmetry_Int_Tables_number 1
loop_
_symmetry_equiv_pos_as_xyz
'x,y,z'
loop_
_atom_site_label
_atom_site_type_symbol
_atom_site_fract_x
_atom_site_fract_y
_atom_site_fract_z
Ni1 Ni 0.0617 0.9395 0.8323
Ni2 Ni 0.5617 0.0605 0.6677
Ni3 Ni 0.0617 0.5605 0.8323
Ni4 Ni 0.9383 0.4395 0.1677
Nd1 Nd 0.6760 0.7500 0.9795
Ni5 Ni 0.4383 0.5605 0.3323
Sn1 Sn 0.6729 0.2500 0.3659
Sn2 Sn 0.1729 0.7500 0.1341
Ni6 Ni 0.9383 0.0605 0.1677
Ni7 Ni 0.4383 0.9395 0.3323
Nd2 Nd 0.3240 0.2500 0.0205
Ni8 Ni 0.5617 0.4395 0.6677
Nd3 Nd 0.1760 0.2500 0.5205
Sn3 Sn 0.3271 0.7500 0.6341
Nd4 Nd 0.8240 0.7500 0.4795
Sn4 Sn 0.8271 0.2500 0.8659
# Energy relative to the elements, eV per atom: -0.4543

---

Listing electronic total energy for the structures above in their given order: -9.005; -5.538 eV per atom.
Listing density for the structures above in their given order: 7.60; 8.15 g/cm³.